Version A
The following is a PBE calculation of a relaxed Mo2OsCl crystal, from the Alexandria database.

a b c (Å): 2.8429 2.8429 29.8652
angles (deg): 90.00 90.00 120.00
Space group R3m (No. 160, hexagonal axes)
Unique sites:
Mo1 0.0000 0.0000 0.0000 (multiplicity 3)
Mo2 0.0000 0.0000 0.2518 (multiplicity 3)
Os1 0.0000 0.0000 0.5154 (multiplicity 3)
Cl1 0.0000 0.0000 0.7284 (multiplicity 3)

Version B
The following is a PBE calculation of a relaxed Mo2OsCl crystal, from the Alexandria database.

a b c (Å): 2.882 4.521 9.252
angles (deg): 90.00 90.00 90.00
Space group Imm2 (No. 44)
Unique sites:
Mo1 0.000 0.000 0.000 (multiplicity 2)
Mo2 0.000 0.500 0.211 (multiplicity 2)
Os1 0.000 0.500 0.749 (multiplicity 2)
Cl1 0.000 0.000 0.494 (multiplicity 2)

Which is the most stable structure? version A is the most stable.

Version A
The following is a PBE calculation of a relaxed Mo2OsCl crystal, from the Alexandria database.

a b c (Å): 2.937 4.535 8.944
angles (deg): 90.00 90.00 90.00
Space group Immm (No. 71)
Unique sites:
Mo1 0.000 0.000 0.229 (multiplicity 4)
Os1 0.000 0.500 0.000 (multiplicity 2)
Cl1 0.000 0.500 0.500 (multiplicity 2)

Version B
The following is a PBE calculation of a relaxed Mo2OsCl crystal, from the Alexandria database.

a b c (Å): 2.833 3.383 7.110
angles (deg): 90.00 90.00 90.00
Space group Pmmm (No. 47)
Unique sites:
Mo1 0.000 0.000 0.211 (multiplicity 2)
Os1 0.500 0.500 0.000 (multiplicity 1)
Cl1 0.000 0.500 0.500 (multiplicity 1)

Which is the most stable structure? version B is the most stable.

Version A
The following is a PBE calculation of a relaxed Mo2OsCl crystal, from the Alexandria database.

a b c (Å): 3.095 4.690 9.095
angles (deg): 90.00 90.00 90.00
Space group Cmm2 (No. 35)
Unique sites:
Mo1 0.000 0.000 0.000 (multiplicity 2)
Mo2 0.000 0.500 0.246 (multiplicity 2)
Os1 0.000 0.000 0.473 (multiplicity 2)
Cl1 0.000 0.500 0.779 (multiplicity 2)

Version B
The following is a PBE calculation of a relaxed Mo2OsCl crystal, from the Alexandria database.

a b c (Å): 10.078 2.932 4.348
angles (deg): 90.00 93.47 90.00
Space group Cm (No. 8)
Unique sites:
Mo1 0.000 0.000 0.000 (multiplicity 2)
Mo2 0.197 0.500 0.297 (multiplicity 2)
Os1 0.272 0.000 0.846 (multiplicity 2)
Cl1 0.488 0.000 0.553 (multiplicity 2)

Version C
The following is a PBE calculation of a relaxed Mo2OsCl crystal, from the Alexandria database.

a b c (Å): 2.877 2.877 7.942
angles (deg): 90.00 90.00 90.00
Space group P4mm (No. 99)
Unique sites:
Mo1 0.000 0.000 0.000 (multiplicity 1)
Mo2 0.500 0.500 0.263 (multiplicity 1)
Os1 0.000 0.000 0.469 (multiplicity 1)
Cl1 0.500 0.500 0.789 (multiplicity 1)

Which is the most stable structure? version C is the most stable.

Version A
The following is a PBE calculation of a relaxed MoOsCl2 crystal, from the Alexandria database.

a b c (Å): 3.0025 3.0025 24.3031
angles (deg): 90.00 90.00 120.00
Space group R-3m (No. 166, hexagonal axes)
Unique sites:
Mo1 0.0000 0.0000 0.0000 (multiplicity 3)
Os1 0.0000 0.0000 0.5000 (multiplicity 3)
Cl1 0.0000 0.0000 0.4064 (multiplicity 6)

Version B
The following is a PBE calculation of a relaxed MoOsCl2 crystal, from the Alexandria database.

a b c (Å): 3.080 3.080 6.289
angles (deg): 90.00 90.00 90.00
Space group P4/mmm (No. 123)
Unique sites:
Mo1 0.000 0.000 0.000 (multiplicity 1)
Os1 0.000 0.000 0.500 (multiplicity 1)
Cl1 0.500 0.500 0.235 (multiplicity 2)

Which is the most stable structure? version A is the most stable.

Version A
The following is a PBE calculation of a relaxed MoP2Cl crystal, from the Alexandria database.

a b c (Å): 3.978 3.978 7.577
angles (deg): 90.00 90.00 90.00
Space group I4/mmm (No. 139)
Unique sites:
Mo1 0.000 0.000 0.000 (multiplicity 2)
P1 0.000 0.500 0.250 (multiplicity 4)
Cl1 0.000 0.000 0.500 (multiplicity 2)

Version B
The following is a PBE calculation of a relaxed MoP2Cl crystal, from the Alexandria database.

a b c (Å): 3.372 4.431 10.251
angles (deg): 90.00 90.00 90.00
Space group Cmmm (No. 65)
Unique sites:
Mo1 0.000 0.000 0.000 (multiplicity 2)
P1 0.000 0.500 0.179 (multiplicity 4)
Cl1 0.000 0.000 0.500 (multiplicity 2)

Which is the most stable structure? version B is the most stable.

Version A
The following is a PBE calculation of a relaxed MoPCl2 crystal, from the Alexandria database.

a b c (Å): 3.180 3.180 8.869
angles (deg): 90.00 90.00 90.00
Space group P4mm (No. 99)
Unique sites:
Mo1 0.000 0.000 0.000 (multiplicity 1)
P1 0.500 0.500 0.883 (multiplicity 1)
Cl1 0.000 0.000 0.255 (multiplicity 1)
Cl2 0.500 0.500 0.651 (multiplicity 1)

Version B
The following is a PBE calculation of a relaxed MoPCl2 crystal, from the Alexandria database.

a b c (Å): 3.190 4.894 12.024
angles (deg): 90.00 90.00 90.00
Space group Imm2 (No. 44)
Unique sites:
Mo1 0.000 0.000 0.000 (multiplicity 2)
P1 0.000 0.500 0.639 (multiplicity 2)
Cl1 0.000 0.000 0.509 (multiplicity 2)
Cl2 0.000 0.500 0.334 (multiplicity 2)

Which is the most stable structure? version A is the most stable.

Version A
The following is a PBE calculation of a relaxed MoPCl2 crystal, from the Alexandria database.

a b c (Å): 3.436 4.808 11.517
angles (deg): 90.00 90.00 90.00
Space group Amm2 (No. 38)
Unique sites:
Mo1 0.000 0.000 0.000 (multiplicity 2)
P1 0.500 0.000 0.130 (multiplicity 2)
Cl1 0.000 0.000 0.473 (multiplicity 2)
Cl2 0.500 0.000 0.830 (multiplicity 2)

Version B
The following is a PBE calculation of a relaxed MoPCl2 crystal, from the Alexandria database.

a b c (Å): 3.307 3.307 7.863
angles (deg): 90.00 90.00 90.00
Space group P4mm (No. 99)
Unique sites:
Mo1 0.000 0.000 0.000 (multiplicity 1)
P1 0.500 0.500 0.120 (multiplicity 1)
Cl1 0.000 0.000 0.322 (multiplicity 1)
Cl2 0.500 0.500 0.771 (multiplicity 1)

Version C
The following is a PBE calculation of a relaxed MoPCl2 crystal, from the Alexandria database.

a b c (Å): 8.977 8.977 4.643
angles (deg): 90.00 90.00 90.00
Space group I-42d (No. 122)
Unique sites:
Mo1 0.000 0.000 0.000 (multiplicity 4)
P1 0.000 0.000 0.500 (multiplicity 4)
Cl1 0.108 0.250 0.125 (multiplicity 8)

Version D
The following is a PBE calculation of a relaxed MoPCl2 crystal, from the Alexandria database.

a b c (Å): 3.164 5.518 9.219
angles (deg): 90.00 90.00 90.00
Space group Cmm2 (No. 35)
Unique sites:
Mo1 0.000 0.000 0.000 (multiplicity 2)
P1 0.000 0.500 0.192 (multiplicity 2)
Cl1 0.000 0.000 0.412 (multiplicity 2)
Cl2 0.000 0.500 0.793 (multiplicity 2)

Which is the most stable structure? version A is the most stable.

Version A
The following is a PBE calculation of a relaxed MoPCl3 crystal, from the Alexandria database.

a b c (Å): 4.916 4.916 4.916
angles (deg): 90.00 90.00 90.00
Space group Pm-3m (No. 221)
Unique sites:
Mo1 0.000 0.000 0.000 (multiplicity 1)
P1 0.500 0.500 0.500 (multiplicity 1)
Cl1 0.000 0.500 0.500 (multiplicity 3)

Version B
The following is a PBE calculation of a relaxed MoPCl3 crystal, from the Alexandria database.

a b c (Å): 7.094 14.003 12.109
angles (deg): 90.00 94.22 90.00
Space group C2/c (No. 15)
Unique sites:
Mo1 0.065 0.058 0.148 (multiplicity 8)
P1 0.138 0.183 0.290 (multiplicity 8)
Cl1 0.130 0.090 0.522 (multiplicity 8)
Cl2 0.166 0.379 0.921 (multiplicity 8)
Cl3 0.212 0.041 0.793 (multiplicity 8)

Version C
The following is a PBE calculation of a relaxed MoPCl3 crystal, from the Alexandria database.

a b c (Å): 4.935 4.935 4.935
angles (deg): 90.00 90.00 90.00
Space group Pm-3m (No. 221)
Unique sites:
Mo1 0.000 0.000 0.000 (multiplicity 1)
P1 0.500 0.500 0.500 (multiplicity 1)
Cl1 0.000 0.000 0.500 (multiplicity 3)

Which is the most stable structure? version B is the most stable.

Version A
The following is a PBE calculation of a relaxed MoPPbCl2 crystal, from the Alexandria database.

a b c (Å): 5.452 5.452 5.918
angles (deg): 90.00 90.00 90.00
Space group P4/mmm (No. 123)
Unique sites:
Mo1 0.000 0.000 0.000 (multiplicity 1)
P1 0.500 0.500 0.000 (multiplicity 1)
Pb1 0.500 0.500 0.500 (multiplicity 1)
Cl1 0.000 0.500 0.500 (multiplicity 2)

Version B
The following is a PBE calculation of a relaxed MoPPbCl2 crystal, from the Alexandria database.

a b c (Å): 5.232 5.232 4.915
angles (deg): 90.00 90.00 90.00
Space group P4/mmm (No. 123)
Unique sites:
Mo1 0.000 0.000 0.000 (multiplicity 1)
P1 0.000 0.000 0.500 (multiplicity 1)
Pb1 0.500 0.500 0.500 (multiplicity 1)
Cl1 0.000 0.500 0.000 (multiplicity 2)

Which is the most stable structure? version B is the most stable.

Version A
The following is a PBE calculation of a relaxed MoP2PbCl crystal, from the Alexandria database.

a b c (Å): 5.395 5.395 5.330
angles (deg): 90.00 90.00 90.00
Space group P4/mmm (No. 123)
Unique sites:
Mo1 0.000 0.000 0.000 (multiplicity 1)
P1 0.000 0.500 0.500 (multiplicity 2)
Pb1 0.500 0.500 0.500 (multiplicity 1)
Cl1 0.500 0.500 0.000 (multiplicity 1)

Version B
The following is a PBE calculation of a relaxed MoP2PbCl crystal, from the Alexandria database.

a b c (Å): 4.763 4.763 5.769
angles (deg): 90.00 90.00 90.00
Space group P4/mmm (No. 123)
Unique sites:
Mo1 0.000 0.000 0.000 (multiplicity 1)
P1 0.000 0.500 0.000 (multiplicity 2)
Pb1 0.500 0.500 0.500 (multiplicity 1)
Cl1 0.000 0.000 0.500 (multiplicity 1)

Which is the most stable structure? version B is the most stable.

Version A
The following is a PBE calculation of a relaxed MoP2PdCl crystal, from the Alexandria database.

a b c (Å): 4.654 4.654 4.782
angles (deg): 90.00 90.00 90.00
Space group P4/mmm (No. 123)
Unique sites:
Mo1 0.000 0.000 0.000 (multiplicity 1)
P1 0.000 0.500 0.500 (multiplicity 2)
Pd1 0.500 0.500 0.500 (multiplicity 1)
Cl1 0.500 0.500 0.000 (multiplicity 1)

Version B
The following is a PBE calculation of a relaxed MoP2PdCl crystal, from the Alexandria database.

a b c (Å): 4.666 4.666 4.818
angles (deg): 90.00 90.00 90.00
Space group P4/mmm (No. 123)
Unique sites:
Mo1 0.000 0.000 0.000 (multiplicity 1)
P1 0.000 0.500 0.000 (multiplicity 2)
Pd1 0.500 0.500 0.500 (multiplicity 1)
Cl1 0.000 0.000 0.500 (multiplicity 1)

Which is the most stable structure? version B is the most stable.

Version A
The following is a PBE calculation of a relaxed RbMoPCl2 crystal, from the Alexandria database.

a b c (Å): 5.225 5.225 4.692
angles (deg): 90.00 90.00 90.00
Space group P4/mmm (No. 123)
Unique sites:
Rb1 0.000 0.000 0.000 (multiplicity 1)
Mo1 0.500 0.500 0.500 (multiplicity 1)
P1 0.500 0.500 0.000 (multiplicity 1)
Cl1 0.000 0.500 0.500 (multiplicity 2)

Version B
The following is a PBE calculation of a relaxed RbMoPCl2 crystal, from the Alexandria database.

a b c (Å): 5.950 5.950 6.120
angles (deg): 90.00 90.00 90.00
Space group P4/mmm (No. 123)
Unique sites:
Rb1 0.000 0.000 0.000 (multiplicity 1)
Mo1 0.500 0.500 0.500 (multiplicity 1)
P1 0.000 0.000 0.500 (multiplicity 1)
Cl1 0.000 0.500 0.000 (multiplicity 2)

Which is the most stable structure? version A is the most stable.